Computed, not measured: a relaxed CeSc2Cu3 crystal at the PBE level of DFT.

Lattice parameters (Å, degrees): 3.2727 3.2727 10.4046 90.00 90.00 90.00
Last column: nearest neighbours and their distance in Å.
Space group P4/mmm (No. 123)
Asymmetric unit:
Ce 0.0000 0.0000 0.0000 [1 per cell]  8 Cu 3.10, 4 Ce 3.27
Sc 0.0000 0.0000 0.3439 [2 per cell]  8 Cu 2.77-2.83
Cu 0.5000 0.5000 0.1982 [2 per cell]  4 Sc 2.77
Cu 0.5000 0.5000 0.5000 [1 per cell]  8 Sc 2.83, 2 Cu 3.14

Calculated values
As for the formation energy: -0.197 eV/atom.